A plane-wave DFT calculation with PBE-GGA was carried out for an optimized crystal structure of Ti2MoC.

As for the total magnetic moment: 0.00 μB per formula unit. The final energy comes out at -9.2747 eV per atom. The formation energy comes out at -313 meV per atom. The density of states at the Fermi level comes out at 1.197 states/eV per atom.

The space group is R3m (No. 160, hexagonal axes) and the conventional cell measures 2.9635, 2.9635 and 21.5849 Å, with angles of 90.00, 90.00 and 120.00 degrees. The distinct sites, in fractional coordinates, are Ti at (0.0000, 0.0000, 0.0000), Ti at (0.0000, 0.0000, 0.2210), Mo at (0.0000, 0.0000, 0.4432) and C at (0.0000, 0.0000, 0.6107).